Entry 1:
{
  "formula": "SrCuTc2",
  "functional": "PBE",
  "state": "relaxed",
  "cell": [[3.175, 0.000, 0.000], [0.000, 3.189, 0.011], [0.000, 3.168, 7.469]],
  "species": ["Tc", "Tc", "Cu", "Sr"],
  "fractional_positions": [[0.500, 0.260, 0.240], [0.000, 0.925, 0.075], [0.000, 0.561, 0.439], [0.500, 0.754, 0.746]],
  "delta_e_f_ev_per_atom": 0.3450,
  "spacegroup": "Pmm2",
  "n_ef_per_ev_atom": 0.848,
  "e_above_lowest_polymorph_mev_per_atom": 47
}

---

Entry 2:
{
  "formula": "Pr4HgN",
  "functional": "PBE",
  "state": "relaxed",
  "cell": [[5.084, 0.000, -1.296], [0.000, 6.999, 0.000], [-0.271, 0.000, 9.555]],
  "species": ["N", "N", "Hg", "Hg", "Pr", "Pr", "Pr", "Pr", "Pr", "Pr", "Pr", "Pr"],
  "fractional_positions": [[0.405, 0.272, 0.809], [0.595, 0.772, 0.191], [0.889, 0.790, 0.779], [0.111, 0.290, 0.221], [0.294, 0.064, 0.589], [0.706, 0.564, 0.411], [0.333, 0.565, 0.667], [0.907, 0.276, 0.814], [0.093, 0.776, 0.186], [0.667, 0.065, 0.333], [0.522, 0.466, 0.043], [0.478, 0.966, 0.957]],
  "spacegroup": "Cmc2_1",
  "n_ef_per_ev_atom": 0.813,
  "raw_formation_energy_ev_per_atom": -0.524,
  "e_above_lowest_polymorph_mev_per_atom": 0
}